1.
{
  "formula": "LiSc2Ag2",
  "functional": "PBE-GGA",
  "state": "optimized geometry",
  "lattice_angstrom": [[-0.018, 1.825, 3.351], [-1.194, -3.185, 1.729], [6.639, -2.761, 3.711]],
  "species": ["Sc", "Sc", "Ag", "Ag", "Li"],
  "frac_coords": [[0.398, 0.398, 0.204], [0.602, 0.602, 0.796], [0.750, 0.250, 0.500], [0.250, 0.750, 0.500], [0.000, 0.000, 0.000]],
  "e_form_ev_per_atom": 0.1867,
  "n_ef_per_ev_cell": 7.04,
  "polymorph_energy_mev_per_atom": 323
}

***

2.
{
  "formula": "Li2ScAg",
  "functional": "PBE-GGA",
  "state": "optimized geometry",
  "lattice_angstrom": [[-2.162, 1.693, 4.507], [4.969, -1.693, 0.548], [1.000, 2.754, -0.555]],
  "species": ["Ag", "Li", "Li", "Sc"],
  "frac_coords": [[0.000, 0.500, 0.500], [0.000, 0.000, 0.000], [0.500, 0.500, 0.000], [0.500, 0.000, 0.500]],
  "e_form_ev_per_atom": 0.1015,
  "n_ef_per_ev_cell": 2.61,
  "polymorph_energy_mev_per_atom": 172
}

***

3.
{
  "formula": "Li2ScAg",
  "functional": "PBE-GGA",
  "state": "optimized geometry",
  "lattice_angstrom": [[5.418, -0.042, 0.048], [4.461, 3.075, 0.048], [1.384, 0.425, 4.579]],
  "species": ["Sc", "Ag", "Li", "Li"],
  "frac_coords": [[0.750, 0.750, 0.750], [0.250, 0.250, 0.250], [0.978, 0.978, 0.034], [0.522, 0.522, 0.466]],
  "e_form_ev_per_atom": -0.0448,
  "n_ef_per_ev_cell": 3.12,
  "polymorph_energy_mev_per_atom": 26
}

***

4.
{
  "formula": "LiScAg4",
  "functional": "PBE-GGA",
  "state": "optimized geometry",
  "lattice_angstrom": [[2.049, -5.052, -0.742], [-0.531, -3.792, 3.951], [-3.397, -4.268, -0.721]],
  "species": ["Li", "Sc", "Ag", "Ag", "Ag", "Ag"],
  "frac_coords": [[0.750, 0.750, 0.750], [0.000, 0.000, 0.000], [0.874, 0.375, 0.375], [0.375, 0.375, 0.874], [0.375, 0.874, 0.375], [0.375, 0.375, 0.375]],
  "e_form_ev_per_atom": -0.0587,
  "n_ef_per_ev_cell": 7.09,
  "polymorph_energy_mev_per_atom": 122
}

***

5.
{
  "formula": "LiScAg",
  "functional": "PBE-GGA",
  "state": "optimized geometry",
  "lattice_angstrom": [[3.131, 0.000, 0.000], [-1.566, 2.712, 0.000], [0.000, 0.000, 7.135]],
  "species": ["Ag", "Li", "Sc"],
  "frac_coords": [[0.000, 0.000, 0.009], [0.333, 0.667, 0.311], [0.667, 0.333, 0.680]],
  "e_form_ev_per_atom": 0.0257,
  "n_ef_per_ev_cell": 3.01,
  "polymorph_energy_mev_per_atom": 202
}

***

6.
{
  "formula": "LiSc4Ag3",
  "functional": "PBE-GGA",
  "state": "optimized geometry",
  "lattice_angstrom": [[0.207, -2.490, -4.160], [-2.888, -3.408, 1.896], [-4.170, 6.341, -1.172]],
  "species": ["Sc", "Sc", "Sc", "Sc", "Ag", "Ag", "Ag", "Li"],
  "frac_coords": [[0.375, 0.375, 0.750], [0.625, 0.625, 0.250], [0.125, 0.125, 0.250], [0.875, 0.875, 0.750], [0.000, 0.500, 0.000], [0.742, 0.242, 0.484], [0.258, 0.758, 0.516], [0.500, 0.000, 0.000]],
  "e_form_ev_per_atom": -0.1810,
  "n_ef_per_ev_cell": 6.17
}

***

7.
{
  "formula": "Li4ScAg5",
  "functional": "PBE-GGA",
  "state": "optimized geometry",
  "lattice_angstrom": [[-1.661, 1.435, 2.433], [1.723, -1.722, 2.192], [10.780, 11.514, 0.569]],
  "species": ["Li", "Li", "Li", "Li", "Sc", "Ag", "Ag", "Ag", "Ag", "Ag"],
  "frac_coords": [[0.000, 0.000, 0.213], [0.000, 0.000, 0.404], [0.000, 0.000, 0.596], [0.000, 0.000, 0.787], [0.000, 0.000, 0.000], [0.500, 0.500, 0.116], [0.500, 0.500, 0.308], [0.500, 0.500, 0.500], [0.500, 0.500, 0.692], [0.500, 0.500, 0.884]],
  "e_form_ev_per_atom": -0.2175,
  "n_ef_per_ev_cell": 3.97
}

***

8.
{
  "formula": "Li2ScAg",
  "functional": "PBE-GGA",
  "state": "optimized geometry",
  "lattice_angstrom": [[2.943, 0.004, 0.000], [-0.832, 2.823, 0.000], [0.000, 0.000, 9.267]],
  "species": ["Ag", "Li", "Li", "Sc"],
  "frac_coords": [[0.500, 0.500, 0.750], [0.000, 0.000, 0.971], [0.000, 0.000, 0.529], [0.500, 0.500, 0.250]],
  "e_form_ev_per_atom": 0.0308,
  "n_ef_per_ev_cell": 2.78,
  "polymorph_energy_mev_per_atom": 101
}

***

9.
{
  "formula": "Li7ScAg4",
  "functional": "PBE-GGA",
  "state": "optimized geometry",
  "lattice_angstrom": [[4.837, 0.000, 0.000], [2.418, 6.831, 0.970], [2.418, 0.916, 6.642]],
  "species": ["Li", "Li", "Li", "Li", "Li", "Li", "Li", "Sc", "Ag", "Ag", "Ag", "Ag"],
  "frac_coords": [[0.781, 0.888, 0.550], [0.219, 0.112, 0.450], [0.070, 0.573, 0.288], [0.930, 0.427, 0.712], [0.284, 0.674, 0.758], [0.500, 0.000, 0.000], [0.716, 0.326, 0.242], [0.000, 0.000, 0.000], [0.548, 0.263, 0.642], [0.452, 0.737, 0.358], [0.688, 0.659, 0.964], [0.312, 0.341, 0.036]],
  "e_form_ev_per_atom": 0.0243,
  "n_ef_per_ev_cell": 7.36
}

***

10.
{
  "formula": "LiScAg6",
  "functional": "PBE-GGA",
  "state": "optimized geometry",
  "lattice_angstrom": [[-2.689, -2.156, 2.254], [2.162, -2.812, 3.653], [-1.208, 4.271, 6.408]],
  "species": ["Li", "Sc", "Ag", "Ag", "Ag", "Ag", "Ag", "Ag"],
  "frac_coords": [[0.000, 0.000, 0.000], [0.000, 0.500, 0.500], [0.249, 0.872, 0.630], [0.501, 0.242, 0.756], [0.250, 0.380, 0.121], [0.499, 0.758, 0.244], [0.751, 0.128, 0.370], [0.750, 0.620, 0.879]],
  "e_form_ev_per_atom": -0.1557,
  "n_ef_per_ev_cell": 3.86
}

***

11.
{
  "formula": "LiSc6Ag5",
  "functional": "PBE-GGA",
  "state": "optimized geometry",
  "lattice_angstrom": [[4.664, 0.020, -1.361], [-0.939, 6.013, -3.131], [-0.078, 0.473, 8.410]],
  "species": ["Sc", "Sc", "Sc", "Sc", "Sc", "Sc", "Ag", "Ag", "Ag", "Ag", "Ag", "Li"],
  "frac_coords": [[0.832, 0.582, 0.665], [0.832, 0.083, 0.665], [0.500, 0.747, 0.000], [0.500, 0.253, 0.000], [0.168, 0.917, 0.335], [0.168, 0.418, 0.335], [0.660, 0.160, 0.319], [0.333, 0.333, 0.665], [0.000, 0.500, 0.000], [0.667, 0.667, 0.335], [0.340, 0.840, 0.681], [0.000, 0.000, 0.000]],
  "e_form_ev_per_atom": -0.2122,
  "n_ef_per_ev_cell": 9.06
}

***

12.
{
  "formula": "LiScAg",
  "functional": "PBE-GGA",
  "state": "optimized geometry",
  "lattice_angstrom": [[3.395, 0.001, 0.189], [-0.001, 3.401, 0.005], [-0.551, -0.014, 9.888]],
  "species": ["Li", "Li", "Sc", "Sc", "Ag", "Ag"],
  "frac_coords": [[0.872, 0.291, 0.830], [0.372, 0.791, 0.682], [0.872, 0.291, 0.147], [0.372, 0.791, 0.365], [0.873, 0.291, 0.537], [0.372, 0.791, 0.976]],
  "e_form_ev_per_atom": -0.1765,
  "n_ef_per_ev_cell": 3.56,
  "polymorph_energy_mev_per_atom": 0
}